Computed, not measured: Be2CrIr after structural relaxation at the GGA-PBE level of DFT.

Results
Total moment   1.725 μB per formula unit
E_form   -0.091 eV/atom

Cell: 2.8589 3.7644 4.1704 Å, 90.00 90.00 90.00°
Closest atoms and distances in Å follow each position.
Sites, in units of the cell vectors:
Be 0.0000 0.0000 0.0000  4 Ir 2.36, 4 Be 2.53
Be 0.5000 0.0000 0.5000  4 Cr 2.36, 4 Be 2.53
Cr 0.0000 0.5000 0.5000  4 Be 2.36, 4 Ir 2.53
Ir 0.5000 0.5000 0.0000  4 Be 2.36, 4 Cr 2.53

Computed, not measured: CuHg2F8 after structural relaxation at the GGA-PBE level of DFT.

Results
Total moment   0.992 μB per formula unit
Formation energy (no corrections)   -1.20 eV per atom

Cell: 6.6084 6.6084 5.7362 Å, 111.89 111.89 42.82°
Closest atoms and distances in Å follow each position.
Sites, in units of the cell vectors:
Cu 0.0000 0.0000 0.0000  4 F 1.77-1.81
Hg 0.3423 0.3423 0.4054  2 F 2.06-2.07
Hg 0.6577 0.6577 0.5946  2 F 2.06-2.07
F 0.0542 0.0542 0.3361  1 Cu 1.77
F 0.1510 0.1510 0.0247  1 Cu 1.81
F 0.2655 0.2655 0.6666  1 Hg 2.07
F 0.4574 0.4574 0.2254  1 Hg 2.06
F 0.5426 0.5426 0.7746  1 Hg 2.06
F 0.7345 0.7345 0.3334  1 Hg 2.07
F 0.8490 0.8490 0.9753  1 Cu 1.81
F 0.9458 0.9458 0.6639  1 Cu 1.77

Computed, not measured: Ta3ReMo after structural relaxation at the GGA-PBE level of DFT.

Results
Total moment   0.000 μB per formula unit
E_form   -0.312 eV/atom

Cell: 8.4295 8.4295 4.5553 Å, 90.00 90.00 148.55°
Closest atoms and distances in Å follow each position.
Sites, in units of the cell vectors:
Ta 0.0546 0.9454 0.7500  2 Re 2.76, 2 Mo 2.76, 4 Ta 2.89
Ta 0.2501 0.7499 0.7500  4 Mo 2.79-2.80, 4 Re 2.79-2.80
Ta 0.4454 0.5546 0.7500  2 Mo 2.76, 2 Re 2.76, 4 Ta 2.89
Ta 0.5546 0.4454 0.2500  2 Mo 2.76, 2 Re 2.76, 4 Ta 2.89
Ta 0.7499 0.2501 0.2500  4 Mo 2.79-2.80, 4 Re 2.79-2.80
Ta 0.9454 0.0546 0.2500  2 Re 2.76, 2 Mo 2.76, 4 Ta 2.89
Re 0.1503 0.8497 0.2500  8 Ta 2.76-2.80
Re 0.8497 0.1503 0.7500  8 Ta 2.76-2.80
Mo 0.3495 0.6505 0.2500  8 Ta 2.76-2.80
Mo 0.6505 0.3495 0.7500  8 Ta 2.76-2.80

Computed, not measured: ZnAsIr2 after structural relaxation at the GGA-PBE level of DFT.

Results
Total moment   0.000 μB per formula unit
E_form   0.019 eV/atom

Cell: 4.1968 4.1968 3.3125 Å, 90.00 90.00 90.00°
Closest atoms and distances in Å follow each position.
Sites, in units of the cell vectors:
Zn 0.0000 0.0000 0.0000  8 Ir 2.67, 4 As 2.97
As 0.5000 0.5000 0.0000  8 Ir 2.67, 4 Zn 2.97
Ir 0.0000 0.5000 0.5000  4 As 2.67, 4 Zn 2.67, 4 Ir 2.97
Ir 0.5000 0.0000 0.5000  4 As 2.67, 4 Zn 2.67, 4 Ir 2.97

Computed, not measured: NaInS3 after structural relaxation at the GGA-PBE level of DFT.

Results
Total moment   4.000 μB per formula unit
Formation energy (no corrections)   0.56 eV per atom

Cell: 5.1126 5.1126 5.1126 Å, 90.00 90.00 90.00°
Closest atoms and distances in Å follow each position.
Sites, in units of the cell vectors:
Na 0.0000 0.0000 0.0000  6 S 2.56
In 0.5000 0.5000 0.5000  12 S 3.62
S 0.0000 0.0000 0.5000  2 Na 2.56
S 0.0000 0.5000 0.0000  2 Na 2.56
S 0.5000 0.0000 0.0000  2 Na 2.56

Computed, not measured: GeSIN2 after structural relaxation at the GGA-PBE level of DFT.

Results
Total moment   0.000 μB per formula unit
Formation energy (no corrections)   1.71 eV per atom

Cell: 4.0230 4.0230 5.4170 Å, 90.00 90.00 90.00°
Closest atoms and distances in Å follow each position.
Sites, in units of the cell vectors:
Ge 0.0000 0.0000 0.0000  4 S 2.84
S 0.5000 0.5000 0.0000  2 I 2.71, 4 Ge 2.84
I 0.5000 0.5000 0.5000  4 N 2.01
N 0.0000 0.5000 0.5000  2 I 2.01
N 0.5000 0.0000 0.5000  2 I 2.01

Computed, not measured: PrGdSnPt after structural relaxation at the GGA-PBE level of DFT.

Results
Total moment   7.194 μB per formula unit
E_form   -0.792 eV/atom

Cell: 5.2745 5.2745 5.2745 Å, 60.00 60.00 60.00°
Closest atoms and distances in Å follow each position.
Sites, in units of the cell vectors:
Pr 0.0000 0.0000 0.0000  4 Sn 3.23, 4 Pt 3.23
Gd 0.5000 0.5000 0.5000  4 Sn 3.23, 4 Pt 3.23
Sn 0.2500 0.2500 0.2500  4 Gd 3.23, 4 Pr 3.23
Pt 0.7500 0.7500 0.7500  4 Gd 3.23, 4 Pr 3.23

Computed, not measured: PrZr2Ga6 after structural relaxation at the GGA-PBE level of DFT.

Results
Total moment   0.000 μB per formula unit
E_form   -0.513 eV/atom

Cell: 7.2496 7.2496 3.8736 Å, 90.00 90.00 120.00°
Closest atoms and distances in Å follow each position.
Sites, in units of the cell vectors:
Pr 0.0000 0.0000 0.0000  12 Ga 3.12
Zr 0.3333 0.6667 0.0000  12 Ga 3.09
Zr 0.6667 0.3333 0.0000  12 Ga 3.09
Ga 0.0000 0.3375 0.5000  3 Ga 2.36-2.45
Ga 0.0000 0.6625 0.5000  3 Ga 2.36-2.45
Ga 0.3375 0.0000 0.5000  3 Ga 2.36-2.45
Ga 0.3375 0.3375 0.5000  3 Ga 2.36-2.45
Ga 0.6625 0.0000 0.5000  3 Ga 2.36-2.45
Ga 0.6625 0.6625 0.5000  3 Ga 2.36-2.45